(1)
{
  "formula": "PrScN2",
  "functional": "PBE",
  "state": "optimized geometry",
  "lattice": [[1.702, 0.982, 5.927], [-1.702, 0.982, 5.927], [0.000, -1.965, 5.927]],
  "species": ["Pr", "Sc", "N", "N"],
  "fractional_positions": [[0.000, 0.000, 0.000], [0.171, 0.171, 0.171], [0.434, 0.434, 0.434], [0.585, 0.585, 0.585]],
  "crystal_system": "trigonal"
}

***

(2)
{
  "formula": "PrScN",
  "functional": "PBE",
  "state": "optimized geometry",
  "lattice": [[3.404, 0.000, 0.000], [-1.702, 2.948, 0.000], [0.000, 0.000, 6.209]],
  "species": ["Pr", "Sc", "N"],
  "fractional_positions": [[0.000, 0.000, 0.000], [0.333, 0.667, 0.429], [0.667, 0.333, 0.278]],
  "polymorph_energy_mev_per_atom": 0,
  "n_ef_per_ev_cell": 3.25,
  "crystal_system": "trigonal"
}

***

(3)
{
  "formula": "PrSc2N",
  "functional": "PBE",
  "state": "optimized geometry",
  "lattice": [[1.629, 0.941, 9.110], [-1.629, 0.941, 9.110], [0.000, -1.881, 9.110]],
  "species": ["Pr", "Sc", "Sc", "N"],
  "fractional_positions": [[0.000, 0.000, 0.000], [0.123, 0.123, 0.123], [0.877, 0.877, 0.877], [0.500, 0.500, 0.500]],
  "polymorph_energy_mev_per_atom": 0,
  "n_ef_per_ev_cell": 4.49,
  "crystal_system": "trigonal"
}

***

| no. | E (hartree per atom) | uncorrected formation energy (eV/f.u.) |
| --- | --- | --- |
| 1 | -0.2980 | -4.67 |
| 2 | -0.2733 | -2.87 |
| 3 | -0.2664 | -3.23 |